Computed, not measured: a relaxed structure of CrOs2Ru at the PBE level of DFT.

a b c (Å): 2.711 4.695 8.744
angles (deg): 84.83 98.90 90.00
Fractional coordinates of all 8 atoms:
Os 0.662 0.191 0.813
Os 0.920 0.106 0.326
Os 0.162 0.691 0.813
Os 0.420 0.606 0.326
Ru 0.295 0.980 0.075
Ru 0.795 0.480 0.075
Cr 0.043 0.398 0.570
Cr 0.543 0.898 0.570

Results
The energy above the most stable polymorph in this dataset is 0 meV per atom. Its formation energy from the elements is 0.07 eV per atom. For the total magnetic moment, the calculation gives 0.00 μB/f.u. Its space-group type is Cm, No. 8. Its mass density is 16182 kg/m³.